(1)
Compound: KBaI
Source: Alexandria
Functional: PBE
Structure: optimized geometry

Summary:
Total magnetization: 0.1005 μB/atom
Offset from the most stable computed form: 70.6 meV/atom
E: -2.329 eV/atom

Structure (CIF):
```
data_KBaI
_cell_length_a 4.349
_cell_length_b 4.349
_cell_length_c 16.509
_cell_angle_alpha 90.00
_cell_angle_beta 90.00
_cell_angle_gamma 90.00
_symmetry_space_group_name_H-M 'I 4 m m'
_symmetry_Int_Tables_number 107
_symmetry_space_group_name_Hall 'I 4 -2'
loop_
_atom_site_label
_atom_site_fract_x
_atom_site_fract_y
_atom_site_fract_z
K1 0.000 0.000 0.000
Ba1 0.000 0.000 0.717
I1 0.000 0.000 0.340
```

(2)
Compound: K3BaI
Source: Alexandria
Functional: PBE
Structure: optimized geometry

Summary:
Total magnetization: 0.3268 μB/atom
Offset from the most stable computed form: 0.0 meV/atom
E: -1.716 eV/atom

Structure (CIF):
```
data_K3BaI
_cell_length_a 6.949
_cell_length_b 6.949
_cell_length_c 6.949
_cell_angle_alpha 90.00
_cell_angle_beta 90.00
_cell_angle_gamma 90.00
_symmetry_space_group_name_H-M 'P m -3 m'
_symmetry_Int_Tables_number 221
_symmetry_space_group_name_Hall '-P 4 2 3'
loop_
_atom_site_label
_atom_site_fract_x
_atom_site_fract_y
_atom_site_fract_z
K1 0.000 0.000 0.500
Ba1 0.500 0.500 0.500
I1 0.000 0.000 0.000
```

(3)
Compound: KBa2I6
Source: Alexandria
Functional: PBE
Structure: optimized geometry

Summary:
Total magnetization: 0.1215 μB/atom
E: -2.979 eV/atom

Structure (CIF):
```
data_KBa2I6
_cell_length_a 8.615
_cell_length_b 8.801
_cell_length_c 13.292
_cell_angle_alpha 90.00
_cell_angle_beta 119.09
_cell_angle_gamma 90.00
_symmetry_space_group_name_H-M 'P 1 21/c 1'
_symmetry_Int_Tables_number 14
_symmetry_space_group_name_Hall '-P 2ybc'
loop_
_atom_site_label
_atom_site_fract_x
_atom_site_fract_y
_atom_site_fract_z
K1 0.000 0.000 0.000
Ba1 0.326 0.130 0.781
I1 0.079 0.047 0.278
I2 0.271 0.657 0.075
I3 0.399 0.174 0.072
```

Number 1: E_form (uncorrected) -0.806 eV/atom. Number 2: E_form (uncorrected) -0.362 eV/atom. Number 3: E_form (uncorrected) -1.396 eV/atom.